--- w ---
Here is an optimized crystal structure of HfTi2VN from Alexandria via LeMat-Bulk. Energies are from PBE-GGA. Values from VASP.

Values from the calculation:
V in Å³ per cell: 72.67
DOS at the Fermi energy in states/eV/cell: 5.3

Quantum ESPRESSO input file:
```
&SYSTEM
  ibrav = 0, nat = 5, ntyp = 4
/
ATOMIC_SPECIES
N 14.01 N.upf
Ti 47.87 Ti.upf
Hf 178.49 Hf.upf
V 50.94 V.upf
ATOMIC_POSITIONS angstrom
N 0.0000 0.0000 0.0000
Ti -1.9310 -0.7953 0.3853
Ti -0.2662 -0.3595 -2.0760
Hf -2.9965 0.6814 -1.9061
V -0.7993 1.8362 -0.2155
CELL_PARAMETERS angstrom
-0.5324 -0.7189 -4.1520
-3.8620 -1.5907 0.7707
-1.5985 3.6723 -0.4309
```

=====

--- x ---
Here is an optimized crystal structure of HfTi2VN from Alexandria via LeMat-Bulk. Energies are from PBE-GGA. Values from VASP.

Values from the calculation:
V in Å³ per cell: 74.77
DOS at the Fermi energy in states/eV/cell: 4.4

Quantum ESPRESSO input file:
```
&SYSTEM
  ibrav = 0, nat = 5, ntyp = 4
/
ATOMIC_SPECIES
N 14.01 N.upf
Ti 47.87 Ti.upf
Hf 178.49 Hf.upf
V 50.94 V.upf
ATOMIC_POSITIONS angstrom
N 0.0000 0.0000 0.0000
Ti 0.0000 2.0569 0.0000
Ti 2.0569 0.0000 0.0000
Hf 0.0000 0.0000 2.2091
V 2.0569 2.0569 2.2091
CELL_PARAMETERS angstrom
4.1138 0.0000 0.0000
0.0000 4.1138 0.0000
0.0000 0.0000 4.4182
```

=====

Which of them is the most stable? Correct choice: x.

=====

--- w ---
Here is an optimized crystal structure of Hf3UN4 from Alexandria via LeMat-Bulk. Energies are from PBE-GGA. Values from VASP.

Values from the calculation:
V in Å³ per cell: 231.44
DOS at the Fermi energy in states/eV/cell: 13.0

Quantum ESPRESSO input file:
```
&SYSTEM
  ibrav = 0, nat = 16, ntyp = 3
/
ATOMIC_SPECIES
Hf 178.49 Hf.upf
U 238.03 U.upf
N 14.01 N.upf
ATOMIC_POSITIONS angstrom
Hf 2.6070 5.3793 0.0000
Hf 0.2975 4.3840 1.9059
Hf 2.6070 2.1627 1.9210
Hf 0.2975 1.1674 3.8268
Hf 2.6070 2.1627 5.7327
Hf 0.2975 4.3840 5.7478
U 0.2975 1.0033 0.0000
U 2.6070 5.5433 3.8268
N 0.2976 5.2957 0.0000
N 2.6070 1.0915 0.0000
N 0.2975 2.2371 1.9087
N 2.6070 4.3095 1.9181
N 0.2975 5.4551 3.8268
N 2.6070 1.2509 3.8268
N 2.6070 4.3095 5.7355
N 0.2975 2.2371 5.7450
CELL_PARAMETERS angstrom
4.6190 0.0000 0.0000
0.0000 6.5466 0.0000
0.0000 0.0000 7.6537
```

=====

--- x ---
Here is an optimized crystal structure of Hf3UN4 from Alexandria via LeMat-Bulk. Energies are from PBE-GGA. Values from VASP.

Values from the calculation:
V in Å³ per cell: 196.66
DOS at the Fermi energy in states/eV/cell: 10.9

Quantum ESPRESSO input file:
```
&SYSTEM
  ibrav = 0, nat = 16, ntyp = 3
/
ATOMIC_SPECIES
U 238.03 U.upf
Hf 178.49 Hf.upf
N 14.01 N.upf
ATOMIC_POSITIONS angstrom
U -4.7884 -1.4361 15.7195
U -1.3968 -2.1071 5.1885
Hf 0.0000 0.0000 0.0000
Hf -2.0328 -0.5867 10.7198
Hf -3.9529 -2.8449 18.6681
Hf -2.2322 -0.6983 2.2399
Hf -3.2789 -1.0004 7.7595
Hf -2.9063 -2.5428 13.1485
N -5.5670 -1.6608 19.8256
N -0.6182 -1.8823 1.0823
N -2.1755 -2.3318 9.2946
N -4.0097 -1.2114 11.6133
N -3.3481 -0.9664 17.6560
N -0.7175 -0.2071 3.7836
N -1.3153 -0.3796 6.9362
N -2.7503 -0.7938 14.5034
CELL_PARAMETERS angstrom
-3.0979 0.7017 -0.5491
0.9783 -3.0714 0.0174
-4.0656 -1.1735 21.4396
```

=====

Which of them is the most stable? Correct choice: x.